The following is a PBE calculation of a geometry-optimized BeCo2Si structure, from the Alexandria database. Values from VASP.

* energy relative to the elements, uncorrected: -0.391 eV/atom
* raw total energy: -24.925 eV/cell
* space group: Cm, No. 8

The structure in Quantum ESPRESSO input format:
```
&SYSTEM
  ibrav = 0, nat = 4, ntyp = 3
/
ATOMIC_SPECIES
Co 58.93 Co.upf
Si 28.09 Si.upf
Be 9.01 Be.upf
CELL_PARAMETERS angstrom
4.3456 -0.0021 -0.0090
3.5737 2.4724 -0.0090
1.1475 0.3579 3.6933
ATOMIC_POSITIONS angstrom
Co 6.7699 2.1118 2.5181
Co 7.9368 2.4757 0.2401
Si 4.6026 1.4357 2.0600
Be 2.2104 0.6895 0.6768
```